DFT (GGA-PBE) results for crystalline Ba3Br at its relaxed geometry. Values from VASP.

```
&SYSTEM
  ibrav = 0, nat = 4, ntyp = 2
/
ATOMIC_SPECIES
Ba 137.33 Ba.upf
Br 79.90 Br.upf
ATOMIC_POSITIONS angstrom
Ba 1.275 3.143 2.124
Ba 6.095 9.887 -1.369
Ba 3.515 5.703 -0.790
Br 4.479 8.340 1.405
CELL_PARAMETERS angstrom
-2.363 1.906 3.241
3.748 -2.176 0.970
6.407 10.393 -1.439
```

Calculated values
Polymorph energy (0 for the lowest one)   12 meV per atom
Density   3.9 Mg/m³
E_tot   -10.4 eV per cell
Energy relative to the elements, uncorrected   -0.74 eV/atom
Density of states at the Fermi level   5.2 states/eV/cell

***

DFT (GGA-PBE) results for crystalline Ba3Br at its relaxed geometry. Values from VASP.

```
&SYSTEM
  ibrav = 0, nat = 4, ntyp = 2
/
ATOMIC_SPECIES
Ba 137.33 Ba.upf
Br 79.90 Br.upf
ATOMIC_POSITIONS angstrom
Ba 2.111 3.412 0.002
Ba 2.111 -2.748 2.022
Ba 0.000 0.000 0.000
Br -3.401 0.663 2.022
CELL_PARAMETERS angstrom
7.623 0.001 0.002
-3.401 6.823 0.002
-3.401 -5.497 4.041
```

Calculated values
Polymorph energy (0 for the lowest one)   315 meV per atom
Density   3.9 Mg/m³
E_tot   -9.2 eV per cell
Energy relative to the elements, uncorrected   -0.44 eV/atom
Density of states at the Fermi level   4.1 states/eV/cell

***

DFT (GGA-PBE) results for crystalline BaBr8 at its relaxed geometry. Values from VASP.

```
&SYSTEM
  ibrav = 0, nat = 9, ntyp = 2
/
ATOMIC_SPECIES
Br 79.90 Br.upf
Ba 137.33 Ba.upf
ATOMIC_POSITIONS angstrom
Br 1.979 -1.979 2.163
Br 1.979 1.979 2.163
Br 9.998 0.000 0.000
Br 3.157 0.000 0.000
Br -1.979 1.979 2.163
Br 0.000 9.998 0.000
Br 0.000 3.157 0.000
Br 4.598 4.598 0.000
Ba 0.000 0.000 0.000
CELL_PARAMETERS angstrom
-6.578 6.578 2.163
6.578 -6.578 2.163
6.578 6.578 -2.163
```

Calculated values
Density   3.4 Mg/m³
E_tot   -18.2 eV per cell
Energy relative to the elements, uncorrected   -0.32 eV/atom
Density of states at the Fermi level   9.4 states/eV/cell